[1]
# ZrInCl GGA-PBE relaxed
data_ZrInCl
_space_group_name_H-M_alt 'P 1'
_space_group_IT_number 1
_cell_length_a 3.3040
_cell_length_b 3.3628
_cell_length_c 14.8577
_cell_angle_alpha 93.44
_cell_angle_beta 91.91
_cell_angle_gamma 119.21
loop_
_space_group_symop_operation_xyz
'x,y,z'
loop_
_atom_site_label
_atom_site_type_symbol
_atom_site_fract_x
_atom_site_fract_y
_atom_site_fract_z
Cl1 Cl 0.7916 0.6391 0.4030
Cl2 Cl 0.0138 0.3082 0.6542
Zr1 Zr 0.7260 0.6982 0.7740
Zr2 Zr 0.4153 0.9231 0.2832
In1 In 0.6760 0.4965 0.1187
In2 In 0.1081 0.4179 0.9386
# D(E_F) ... 0.287 states/eV/atom
# Spin magnetization ... 0.00 Bohr magnetons per cell
# Formation energy (no corrections) ... -0.8709 eV/atom
# Total energy ... -31.5 eV for the cell shown

=====

[2]
# ZrIn2Cl GGA-PBE relaxed
data_ZrIn2Cl
_space_group_name_H-M_alt 'P 1'
_space_group_IT_number 1
_cell_length_a 3.2045
_cell_length_b 5.4615
_cell_length_c 5.4615
_cell_angle_alpha 90.00
_cell_angle_beta 90.00
_cell_angle_gamma 90.00
loop_
_space_group_symop_operation_xyz
'x,y,z'
loop_
_atom_site_label
_atom_site_type_symbol
_atom_site_fract_x
_atom_site_fract_y
_atom_site_fract_z
Cl1 Cl 0.5000 0.0000 0.5000
Zr1 Zr 0.5000 0.5000 0.0000
In1 In 0.0000 0.0000 0.0000
In2 In 0.0000 0.5000 0.5000
# D(E_F) ... 0.646 states/eV/atom
# Spin magnetization ... 0.52 Bohr magnetons per cell
# Formation energy (no corrections) ... -0.2669 eV/atom
# Total energy ... -16.9 eV for the cell shown

=====

[3]
# ZrIn2Cl GGA-PBE relaxed
data_ZrIn2Cl
_space_group_name_H-M_alt 'P 1'
_space_group_IT_number 1
_cell_length_a 11.0711
_cell_length_b 11.0711
_cell_length_c 11.0711
_cell_angle_alpha 17.26
_cell_angle_beta 17.26
_cell_angle_gamma 17.26
loop_
_space_group_symop_operation_xyz
'x,y,z'
loop_
_atom_site_label
_atom_site_type_symbol
_atom_site_fract_x
_atom_site_fract_y
_atom_site_fract_z
Zr1 Zr 0.4967 0.4967 0.4967
Cl1 Cl 0.7757 0.7757 0.7757
In1 In 0.9887 0.9887 0.9887
In2 In 0.2388 0.2388 0.2388
# D(E_F) ... 0.711 states/eV/atom
# Spin magnetization ... 0.00 Bohr magnetons per cell
# Formation energy (no corrections) ... -0.6075 eV/atom
# Total energy ... -18.3 eV for the cell shown

=====

[4]
# ZrInCl GGA-PBE relaxed
data_ZrInCl
_space_group_name_H-M_alt 'P 1'
_space_group_IT_number 1
_cell_length_a 3.2912
_cell_length_b 3.2912
_cell_length_c 8.3656
_cell_angle_alpha 89.67
_cell_angle_beta 89.31
_cell_angle_gamma 60.00
loop_
_space_group_symop_operation_xyz
'x,y,z'
loop_
_atom_site_label
_atom_site_type_symbol
_atom_site_fract_x
_atom_site_fract_y
_atom_site_fract_z
In1 In 0.6001 0.8718 0.8362
Cl1 Cl 0.2832 0.5383 0.3264
Zr1 Zr 0.9432 0.2051 0.5402
# Spin magnetization ... 0.00 Bohr magnetons per cell
# Formation energy (no corrections) ... -0.7612 eV/atom
# Total energy ... -15.4 eV for the cell shown

=====

[5]
# ZrIn2Cl GGA-PBE relaxed
data_ZrIn2Cl
_space_group_name_H-M_alt 'P 1'
_space_group_IT_number 1
_cell_length_a 3.1759
_cell_length_b 3.1759
_cell_length_c 10.2284
_cell_angle_alpha 90.00
_cell_angle_beta 90.00
_cell_angle_gamma 90.00
loop_
_space_group_symop_operation_xyz
'x,y,z'
loop_
_atom_site_label
_atom_site_type_symbol
_atom_site_fract_x
_atom_site_fract_y
_atom_site_fract_z
In1 In 0.0000 0.0000 0.0393
In2 In 0.5000 0.5000 0.2896
Cl1 Cl 0.5000 0.5000 0.6654
Zr1 Zr 0.0000 0.0000 0.5058
# D(E_F) ... 0.438 states/eV/atom
# Spin magnetization ... 0.00 Bohr magnetons per cell
# Formation energy (no corrections) ... -0.5107 eV/atom
# Total energy ... -17.9 eV for the cell shown

=====

[6]
# ZrIn2Cl6 GGA-PBE relaxed
data_ZrIn2Cl6
_space_group_name_H-M_alt 'P 1'
_space_group_IT_number 1
_cell_length_a 7.1542
_cell_length_b 8.3147
_cell_length_c 9.9666
_cell_angle_alpha 90.00
_cell_angle_beta 92.61
_cell_angle_gamma 90.00
loop_
_space_group_symop_operation_xyz
'x,y,z'
loop_
_atom_site_label
_atom_site_type_symbol
_atom_site_fract_x
_atom_site_fract_y
_atom_site_fract_z
Cl1 Cl 0.5996 0.4645 0.2413
Cl2 Cl 0.1636 0.2541 0.4444
Cl3 Cl 0.9004 0.9645 0.2587
Cl4 Cl 0.2078 0.3436 0.0380
Cl5 Cl 0.0996 0.0355 0.7413
Cl6 Cl 0.7922 0.6564 0.9620
Cl7 Cl 0.2922 0.8436 0.4620
Cl8 Cl 0.6636 0.2459 0.9444
Cl9 Cl 0.7078 0.1564 0.5380
Cl10 Cl 0.8364 0.7459 0.5556
Cl11 Cl 0.3364 0.7541 0.0556
Cl12 Cl 0.4004 0.5355 0.7587
In1 In 0.9786 0.4014 0.7589
In2 In 0.4786 0.0986 0.2589
In3 In 0.0214 0.5986 0.2411
In4 In 0.5214 0.9014 0.7411
Zr1 Zr 0.5000 0.5000 0.0000
Zr2 Zr 0.0000 0.0000 0.5000
# D(E_F) ... 0.000 states/eV/atom
# Spin magnetization ... 0.00 Bohr magnetons per cell
# Formation energy (no corrections) ... -1.4077 eV/atom
# Total energy ... -75.5 eV for the cell shown

=====

The evaluated polymorph energy (0 for the lowest one) for the records listed, in turn: 0.006; 0.341; 0.000; 0.115; 0.097; 0.000 eV per atom.